(1)
SrSbTe2Pd (PBE, relaxed); energy above the lowest structure with this stoichiometry = 0 meV/atom; ΔE_f (raw) = -0.462 eV per atom; energy = -19.6 eV for the cell shown; crystal system = tetragonal; symmetry = P4/mmm
1.0
5.605 0.000 0.000
0.000 5.605 0.000
0.000 0.000 5.034
Sr Sb Te Pd
1 1 2 1
Cartesian
0.000 0.000 0.000
2.802 2.802 0.000
0.000 2.802 2.517
2.802 0.000 2.517
2.802 2.802 2.517


(2)
SrSbTe2Pd (PBE, relaxed); energy above the lowest structure with this stoichiometry = 1244 meV/atom; ΔE_f (raw) = 0.782 eV per atom; energy = -13.4 eV for the cell shown; crystal system = tetragonal; symmetry = P4/mmm
1.0
6.033 0.000 0.000
0.000 6.033 0.000
0.000 0.000 6.059
Sr Sb Te Pd
1 1 2 1
Cartesian
0.000 0.000 0.000
0.000 0.000 3.030
0.000 3.017 0.000
3.017 0.000 0.000
3.017 3.017 3.030


(3)
Sr2SbTePd6 (PBE, relaxed); ΔE_f (raw) = -0.620 eV per atom; energy = -48.0 eV for the cell shown; crystal system = triclinic; symmetry = P-1
1.0
5.657 0.000 0.000
2.821 6.379 0.000
2.827 0.332 6.465
Sr Sb Te Pd
2 1 1 6
Cartesian
2.828 1.519 1.797
8.477 5.192 4.668
0.000 0.000 0.000
5.652 3.356 3.232
4.240 1.848 4.887
5.644 4.102 5.855
4.241 4.860 1.571
7.063 1.852 4.894
5.660 2.610 0.610
7.065 4.863 1.578


(4)
Sr2ThSb3Pd4 (PBE, relaxed); ΔE_f (raw) = -0.812 eV per atom; energy = -52.0 eV for the cell shown; crystal system = tetragonal; symmetry = P-4m2
1.0
4.646 0.000 0.000
0.000 4.646 0.000
0.000 0.000 11.637
Sr Th Sb Pd
2 1 3 4
Cartesian
0.000 2.323 2.508
2.323 0.000 9.129
0.000 0.000 5.819
0.000 2.323 10.194
2.323 0.000 1.443
2.323 2.323 5.819
0.000 0.000 0.000
0.000 2.323 7.520
2.323 0.000 4.117
2.323 2.323 0.000


(5)
SrTlSbPd3 (PBE, relaxed); ΔE_f (raw) = -0.407 eV per atom; energy = -52.4 eV for the cell shown; crystal system = orthorhombic; symmetry = Cmcm
1.0
2.911 -8.842 0.000
2.911 8.842 0.000
0.000 0.000 5.991
Sr Tl Sb Pd
2 2 2 6
Cartesian
2.911 5.195 4.493
2.911 -5.195 1.498
2.911 6.933 1.498
2.911 -6.933 4.493
2.911 1.617 1.498
2.911 -1.617 4.493
1.429 0.000 0.000
1.429 0.000 2.996
2.911 4.227 1.498
2.911 -4.227 4.493
4.392 0.000 0.000
4.392 0.000 2.996


(6)
Sr2TlSbPd (PBE, relaxed); ΔE_f (raw) = -0.490 eV per atom; energy = -17.5 eV for the cell shown; crystal system = tetragonal; symmetry = P4/mmm
1.0
5.892 0.000 0.000
0.000 5.892 0.000
0.000 0.000 5.043
Sr Tl Sb Pd
2 1 1 1
Cartesian
0.000 2.946 0.000
2.946 0.000 0.000
0.000 0.000 2.522
2.946 2.946 2.522
2.946 2.946 0.000


(7)
Sr2YSb3Pd4 (PBE, relaxed); ΔE_f (raw) = -0.857 eV per atom; energy = -51.5 eV for the cell shown; crystal system = tetragonal; symmetry = P-4m2
1.0
4.595 0.000 0.000
0.000 4.595 0.000
0.000 0.000 11.542
Sr Y Sb Pd
2 1 3 4
Cartesian
0.000 2.298 2.584
2.298 0.000 8.958
0.000 0.000 5.771
0.000 2.298 10.089
2.298 0.000 1.453
2.298 2.298 5.771
0.000 0.000 0.000
0.000 2.298 7.441
2.298 0.000 4.101
2.298 2.298 0.000


(8)
Sr2YSb4Pd3 (PBE, relaxed); ΔE_f (raw) = -0.843 eV per atom; energy = -50.3 eV for the cell shown; crystal system = tetragonal; symmetry = P-4m2
1.0
4.614 0.000 0.000
0.000 4.614 0.000
0.000 0.000 12.168
Sr Y Sb Pd
2 1 4 3
Cartesian
0.000 2.307 2.851
2.307 0.000 9.317
0.000 0.000 6.084
0.000 0.000 0.000
0.000 2.307 7.951
2.307 0.000 4.217
2.307 2.307 0.000
0.000 2.307 10.662
2.307 0.000 1.506
2.307 2.307 6.084


(9)
Sr2ZnSb3Pd4 (PBE, relaxed); ΔE_f (raw) = -0.763 eV per atom; energy = -45.4 eV for the cell shown; crystal system = tetragonal; symmetry = P-4m2
1.0
4.633 0.000 0.000
0.000 4.633 0.000
0.000 0.000 10.646
Sr Zn Sb Pd
2 1 3 4
Cartesian
0.000 2.316 2.629
2.316 0.000 8.016
0.000 0.000 5.323
0.000 2.316 9.250
2.316 0.000 1.396
2.316 2.316 5.323
0.000 0.000 0.000
0.000 2.316 6.596
2.316 0.000 4.049
2.316 2.316 0.000


(10)
Sr2ZnSb4Pd3 (PBE, relaxed); ΔE_f (raw) = -0.701 eV per atom; energy = -43.7 eV for the cell shown; crystal system = tetragonal; symmetry = P-4m2
1.0
4.625 0.000 0.000
0.000 4.625 0.000
0.000 0.000 11.283
Sr Zn Sb Pd
2 1 4 3
Cartesian
0.000 2.313 2.775
2.313 0.000 8.508
2.313 2.313 0.000
0.000 0.000 5.641
0.000 2.313 9.769
2.313 0.000 1.514
2.313 2.313 5.641
0.000 0.000 0.000
0.000 2.313 7.110
2.313 0.000 4.172


(11)
Sr2ZnSbPd6 (PBE, relaxed); ΔE_f (raw) = -0.544 eV per atom; energy = -45.4 eV for the cell shown; crystal system = triclinic; symmetry = P-1
1.0
5.665 0.000 0.000
2.828 6.242 0.000
2.827 -0.225 6.275
Sr Zn Sb Pd
2 1 1 6
Cartesian
1.414 1.261 1.419
9.906 4.756 4.856
4.246 -0.112 3.138
4.246 3.121 0.000
2.873 1.434 4.686
4.251 2.396 2.553
5.612 1.428 4.692
5.708 4.589 1.583
7.069 3.621 3.722
8.447 4.583 1.589


(12)
Sr2ZrSb4Pd3 (PBE, relaxed); ΔE_f (raw) = -0.782 eV per atom; energy = -51.8 eV for the cell shown; crystal system = tetragonal; symmetry = P-4m2
1.0
4.598 0.000 0.000
0.000 4.598 0.000
0.000 0.000 11.819
Sr Zr Sb Pd
2 1 4 3
Cartesian
0.000 2.299 2.801
2.299 0.000 9.018
0.000 0.000 5.909
0.000 0.000 0.000
0.000 2.299 7.588
2.299 0.000 4.231
2.299 2.299 0.000
0.000 2.299 10.284
2.299 0.000 1.535
2.299 2.299 5.909